Entry from Alexandria via LeMat-Bulk: an optimized crystal structure of Ni2AsSe (PBEsol).

```
data_Ni2AsSe
_chemical_formula_sum 'Ni4 As2 Se2'
_symmetry_space_group_name_H-M 'C 1 m 1'
_symmetry_Int_Tables_number 8
_cell_length_a 7.195
_cell_length_b 3.171
_cell_length_c 5.924
_cell_angle_alpha 90.00
_cell_angle_beta 112.68
_cell_angle_gamma 90.00
loop_
_symmetry_equiv_pos_as_xyz
'x,y,z'
'x,-y,z'
'x+1/2,y+1/2,z'
'x+1/2,-y+1/2,z'
loop_
_atom_site_label
_atom_site_fract_x
_atom_site_fract_y
_atom_site_fract_z
_atom_site_occupancy
Ni1 0.000 0.000 0.000 1
Ni2 0.220 0.000 0.785 1
As1 0.254 0.500 0.149 1
Se1 0.459 0.000 0.613 1
```

Final energy ... -0.201 hartree per atom
M_tot ... 0.00 μB per cell
Formation energy from raw total energies ... -150 meV/atom
N(E_F) ... 4.873 states/eV/cell


Entry from Alexandria via LeMat-Bulk: an optimized crystal structure of Ni2AsSe (PBEsol).

```
data_Ni2AsSe
_chemical_formula_sum 'Ni8 As4 Se4'
_symmetry_space_group_name_H-M 'F m -3 m'
_symmetry_Int_Tables_number 225
_symmetry_space_group_name_Hall '-F 4 2 3'
_cell_length_a 6.008
_cell_length_b 6.008
_cell_length_c 6.008
_cell_angle_alpha 90.00
_cell_angle_beta 90.00
_cell_angle_gamma 90.00
loop_
_atom_site_label
_atom_site_fract_x
_atom_site_fract_y
_atom_site_fract_z
_atom_site_occupancy
Ni1 0.250 0.250 0.250 1
As1 0.000 0.000 0.000 1
Se1 0.000 0.000 0.500 1
```

Final energy ... -0.195 hartree per atom
M_tot ... 0.00 μB per cell
Formation energy from raw total energies ... 6 meV/atom
N(E_F) ... 4.950 states/eV/cell


Entry from Alexandria via LeMat-Bulk: an optimized crystal structure of Ni2AsSe (PBEsol).

```
data_Ni2AsSe
_chemical_formula_sum 'Ni8 As4 Se4'
_symmetry_space_group_name_H-M 'F -4 3 m'
_symmetry_Int_Tables_number 216
_symmetry_space_group_name_Hall 'F -4 2 3'
_cell_length_a 6.088
_cell_length_b 6.088
_cell_length_c 6.088
_cell_angle_alpha 90.00
_cell_angle_beta 90.00
_cell_angle_gamma 90.00
loop_
_atom_site_label
_atom_site_fract_x
_atom_site_fract_y
_atom_site_fract_z
_atom_site_occupancy
Ni1 0.000 0.000 0.000 1
Ni2 0.250 0.250 0.250 1
As1 0.250 0.250 0.750 1
Se1 0.000 0.000 0.500 1
```

Final energy ... -0.180 hartree per atom
M_tot ... 0.00 μB per cell
Formation energy from raw total energies ... 426 meV/atom
N(E_F) ... 10.000 states/eV/cell


Entry from Alexandria via LeMat-Bulk: an optimized crystal structure of ZnNiAs2Se (PBEsol).

```
data_ZnNiAs2Se
_chemical_formula_sum 'Zn1 Ni1 As2 Se1'
_symmetry_space_group_name_H-M 'P 4/m m m'
_symmetry_Int_Tables_number 123
_symmetry_space_group_name_Hall '-P 4 2'
_cell_length_a 4.932
_cell_length_b 4.932
_cell_length_c 4.544
_cell_angle_alpha 90.00
_cell_angle_beta 90.00
_cell_angle_gamma 90.00
loop_
_atom_site_label
_atom_site_fract_x
_atom_site_fract_y
_atom_site_fract_z
_atom_site_occupancy
Zn1 0.000 0.000 0.000 1
Ni1 0.500 0.500 0.000 1
As1 0.000 0.500 0.500 1
Se1 0.000 0.000 0.500 1
```

Final energy ... -0.119 hartree per atom
M_tot ... 0.02 μB per cell
Formation energy from raw total energies ... 1136 meV/atom
N(E_F) ... 4.374 states/eV/cell